No. 1
Compound: B7C3
Source: the Alexandria database
Functional: PBE
Structure: relaxed

Properties
Excess energy over the best structure of this formula in the dataset, meV/atom: 135
ρ, g cm⁻³: 2.60
Final energy, eV/atom: -7.0147
ΔE_f, eV per atom: 0.43

Lattice parameters (Å, degrees): 4.669 4.669 5.925 123.63 123.63 43.44
Atoms (fractional coordinates):
B 0.000 0.000 0.000
B 0.045 0.385 0.026
B 0.141 0.214 0.542
B 0.478 0.429 0.233
B 0.571 0.522 0.767
B 0.615 0.955 0.974
B 0.786 0.859 0.458
C 0.135 0.620 0.708
C 0.380 0.865 0.292
C 0.768 0.232 0.500

---

No. 2
Compound: NiPtSe2
Source: the Alexandria database
Functional: PBE
Structure: relaxed

Properties
ρ, g cm⁻³: 9.87
Formation energy (no corrections), eV per formula unit: -0.20
Final energy, eV/atom: -4.7485

Lattice parameters (Å, degrees): 3.646 3.671 5.178 90.00 90.67 90.00
Atoms (fractional coordinates):
Ni 0.000 0.000 0.000
Pt 0.500 0.500 0.500
Se 0.000 0.000 0.500
Se 0.500 0.500 0.000

---

No. 3
Compound: IrOs2Pb
Source: the Alexandria database
Functional: PBE
Structure: relaxed

Properties
ρ, g cm⁻³: 19.67
Final energy, eV/atom: -7.8534
ΔE_f, eV per atom: 0.90

Lattice parameters (Å, degrees): 4.887 4.887 2.885 90.00 90.00 107.16
Atoms (fractional coordinates):
Ir 0.000 0.000 0.000
Os 0.000 0.500 0.500
Os 0.500 0.000 0.500
Pb 0.500 0.500 0.000

---

No. 4
Compound: Sm4HoTe5
Source: the Alexandria database
Functional: PBE
Structure: relaxed

Properties
ρ, g cm⁻³: 7.62
Formation energy (no corrections), eV per formula unit: -13.56
Final energy, eV/atom: -5.2722

Lattice parameters (Å, degrees): 7.664 7.664 7.664 99.58 99.58 131.86
Atoms (fractional coordinates):
Sm 0.093 0.311 0.404
Sm 0.311 0.907 0.218
Sm 0.689 0.093 0.782
Sm 0.907 0.689 0.596
Ho 0.501 0.501 0.000
Te 0.001 0.001 0.000
Te 0.210 0.605 0.815
Te 0.395 0.210 0.606
Te 0.605 0.790 0.394
Te 0.790 0.395 0.185

---

No. 5
Compound: Ac4La4Tb3
Source: the Alexandria database
Functional: PBE
Structure: relaxed

Properties
ρ, g cm⁻³: 7.45
Final energy, eV/atom: -4.3495
ΔE_f, eV per atom: 0.20

Lattice parameters (Å, degrees): 11.679 11.679 11.679 161.77 119.32 63.93
Atoms (fractional coordinates):
Ac 0.193 0.193 0.000
Ac 0.266 0.500 0.766
Ac 0.734 0.500 0.234
Ac 0.807 0.807 0.000
La 0.103 0.323 0.779
La 0.456 0.677 0.779
La 0.544 0.323 0.221
La 0.897 0.677 0.221
Tb 0.000 0.000 0.000
Tb 0.407 0.907 0.500
Tb 0.593 0.093 0.500

---

No. 6
Compound: P2Cl2O
Source: the Alexandria database
Functional: PBE
Structure: relaxed

Properties
Excess energy over the best structure of this formula in the dataset, meV/atom: 0
ρ, g cm⁻³: 2.23
Formation energy (no corrections), eV per formula unit: -1.34
Final energy, eV/atom: -4.1619

Lattice parameters (Å, degrees): 5.354 5.354 5.354 118.52 118.52 92.59
Atoms (fractional coordinates):
P 0.216 0.216 0.000
P 0.784 0.784 0.000
Cl 0.250 0.750 0.500
Cl 0.750 0.250 0.500
O 0.000 0.000 0.000

---

No. 7
Compound: YNi2Te
Source: the Alexandria database
Functional: PBE
Structure: relaxed

Properties
ρ, g cm⁻³: 6.94
Formation energy (no corrections), eV per formula unit: -1.66
Final energy, eV/atom: -5.7061

Lattice parameters (Å, degrees): 3.937 4.239 4.843 90.00 98.82 90.00
Atoms (fractional coordinates):
Y 0.000 0.000 0.000
Ni 0.554 0.000 0.429
Ni 0.577 0.500 0.184
Te 0.414 0.500 0.670

---

No. 8
Compound: TlZn2Cu2
Source: the Alexandria database
Functional: PBE
Structure: relaxed

Properties
Excess energy over the best structure of this formula in the dataset, meV/atom: 13
ρ, g cm⁻³: 9.35
Final energy, eV/atom: -2.4848
ΔE_f, eV per atom: 0.14

Lattice parameters (Å, degrees): 7.664 7.664 2.796 90.00 90.00 90.00
Atoms (fractional coordinates):
Tl 0.000 0.000 0.000
Tl 0.500 0.500 0.000
Zn 0.122 0.378 0.000
Zn 0.378 0.878 0.000
Zn 0.622 0.122 0.000
Zn 0.878 0.622 0.000
Cu 0.172 0.672 0.500
Cu 0.328 0.172 0.500
Cu 0.672 0.828 0.500
Cu 0.828 0.328 0.500

---

No. 9
Compound: Sn3ICl
Source: the Alexandria database
Functional: PBE
Structure: relaxed

Properties
Excess energy over the best structure of this formula in the dataset, meV/atom: 0
ρ, g cm⁻³: 4.82
Formation energy (no corrections), eV per formula unit: 2.13
Final energy, eV/atom: -2.6549

Lattice parameters (Å, degrees): 5.631 5.631 5.631 90.00 90.00 90.00
Atoms (fractional coordinates):
Sn 0.000 0.000 0.500
Sn 0.000 0.500 0.000
Sn 0.500 0.000 0.000
I 0.500 0.500 0.500
Cl 0.000 0.000 0.000

---

No. 10
Compound: YTlZn
Source: the Alexandria database
Functional: PBE
Structure: relaxed

Properties
ρ, g cm⁻³: 8.07
Final energy, eV/atom: -3.5582
ΔE_f, eV per atom: -0.19

Lattice parameters (Å, degrees): 4.413 4.413 7.576 90.00 90.00 90.00
Atoms (fractional coordinates):
Y 0.250 0.250 0.163
Y 0.750 0.750 0.837
Tl 0.250 0.750 0.500
Tl 0.750 0.250 0.500
Zn 0.250 0.250 0.773
Zn 0.750 0.750 0.227

---

No. 11
Compound: Pr6HgRu2
Source: the Alexandria database
Functional: PBE
Structure: relaxed

Properties
Excess energy over the best structure of this formula in the dataset, meV/atom: 45
ρ, g cm⁻³: 8.17
Final energy, eV/atom: -5.4756
ΔE_f, eV per atom: -0.19

Lattice parameters (Å, degrees): 5.819 5.819 9.322 99.45 99.45 54.86
Atoms (fractional coordinates):
Pr 0.040 0.040 0.345
Pr 0.291 0.291 0.662
Pr 0.341 0.341 0.114
Pr 0.659 0.659 0.886
Pr 0.709 0.709 0.338
Pr 0.960 0.960 0.655
Hg 0.000 0.000 0.000
Ru 0.387 0.387 0.401
Ru 0.613 0.613 0.599

---

No. 12
Compound: SrReBr
Source: the Alexandria database
Functional: PBE
Structure: relaxed

Properties
Excess energy over the best structure of this formula in the dataset, meV/atom: 353
ρ, g cm⁻³: 6.24
Formation energy (no corrections), eV per formula unit: 3.41
Final energy, eV/atom: -4.1325

Lattice parameters (Å, degrees): 5.106 5.106 5.106 60.00 60.00 60.00
Atoms (fractional coordinates):
Sr 0.000 0.000 0.000
Re 0.500 0.500 0.500
Br 0.250 0.250 0.250

---

No. 13
Compound: SrMoSe
Source: the Alexandria database
Functional: PBE
Structure: relaxed

Properties
Excess energy over the best structure of this formula in the dataset, meV/atom: 0
ρ, g cm⁻³: 6.47
Formation energy (no corrections), eV per formula unit: -0.39
Final energy, eV/atom: -5.4611

Lattice parameters (Å, degrees): 6.311 6.311 6.311 148.77 148.77 44.76
Atoms (fractional coordinates):
Sr 0.000 0.000 0.000
Mo 0.704 0.704 0.000
Se 0.292 0.292 0.000

---

No. 14
Compound: TlCd5In6
Source: the Alexandria database
Functional: PBE
Structure: relaxed

Properties
ρ, g cm⁻³: 7.79
Final energy, eV/atom: -1.9168
ΔE_f, eV per atom: 0.03

Lattice parameters (Å, degrees): 4.636 9.577 7.328 90.00 107.60 90.00
Atoms (fractional coordinates):
Tl 0.000 0.000 0.000
Cd 0.000 0.500 0.000
Cd 0.329 0.000 0.655
Cd 0.336 0.500 0.668
Cd 0.664 0.500 0.332
Cd 0.671 0.000 0.345
In 0.168 0.257 0.336
In 0.168 0.743 0.336
In 0.500 0.257 0.000
In 0.500 0.743 0.000
In 0.832 0.257 0.664
In 0.832 0.743 0.664

---

No. 15
Compound: Ho8Ga3Te4Se
Source: the Alexandria database
Functional: PBE
Structure: relaxed

Properties
ρ, g cm⁻³: 8.11
Formation energy (no corrections), eV per formula unit: -17.58
Final energy, eV/atom: -4.9586

Lattice parameters (Å, degrees): 8.658 8.658 8.658 57.60 57.60 57.60
Atoms (fractional coordinates):
Ho 0.237 0.744 0.744
Ho 0.244 0.244 0.244
Ho 0.256 0.256 0.763
Ho 0.256 0.763 0.256
Ho 0.744 0.237 0.744
Ho 0.744 0.744 0.237
Ho 0.756 0.756 0.756
Ho 0.763 0.256 0.256
Ga 0.000 0.000 0.500
Ga 0.000 0.500 0.000
Ga 0.500 0.000 0.000
Te 0.000 0.000 0.000
Te 0.000 0.500 0.500
Te 0.500 0.000 0.500
Te 0.500 0.500 0.000
Se 0.500 0.500 0.500

---

No. 16
Compound: ZrTc2RuC
Source: the Alexandria database
Functional: PBE
Structure: relaxed

Properties
ρ, g cm⁻³: 9.40
Final energy, eV/atom: -9.7727
ΔE_f, eV per atom: -0.22

Lattice parameters (Å, degrees): 4.142 4.142 4.124 90.00 90.00 90.00
Atoms (fractional coordinates):
Zr 0.000 0.000 0.000
Tc 0.000 0.500 0.500
Tc 0.500 0.000 0.500
Ru 0.500 0.500 0.000
C 0.500 0.500 0.500

---

No. 17
Compound: Pa2BiH
Source: the Alexandria database
Functional: PBE
Structure: relaxed

Properties
Excess energy over the best structure of this formula in the dataset, meV/atom: 99
ρ, g cm⁻³: 13.29
Final energy, eV/atom: -6.6108

Lattice parameters (Å, degrees): 9.032 9.032 9.032 21.14 21.14 21.14
Atoms (fractional coordinates):
Pa 0.224 0.224 0.224
Pa 0.776 0.776 0.776
Bi 0.000 0.000 0.000
H 0.500 0.500 0.500

---

No. 18
Compound: Al4Cu3
Source: the Alexandria database
Functional: PBE
Structure: relaxed

Properties
Excess energy over the best structure of this formula in the dataset, meV/atom: 0
ρ, g cm⁻³: 4.95
Final energy, eV/atom: -3.9796
ΔE_f, eV per atom: -0.09

Lattice parameters (Å, degrees): 9.380 9.380 9.380 159.60 159.60 29.00
Atoms (fractional coordinates):
Al 0.071 0.071 0.000
Al 0.350 0.350 0.000
Al 0.650 0.650 0.000
Al 0.929 0.929 0.000
Cu 0.212 0.212 0.000
Cu 0.500 0.500 0.000
Cu 0.788 0.788 0.000

---

No. 19
Compound: Pr3SmGa2
Source: the Alexandria database
Functional: PBE
Structure: relaxed

Properties
Excess energy over the best structure of this formula in the dataset, meV/atom: 50
ρ, g cm⁻³: 6.70
Final energy, eV/atom: -4.5217
ΔE_f, eV per atom: -0.34

Lattice parameters (Å, degrees): 9.196 9.196 9.328 112.25 112.25 29.13
Atoms (fractional coordinates):
Pr 0.046 0.046 0.188
Pr 0.321 0.321 0.567
Pr 0.350 0.350 0.024
Pr 0.650 0.650 0.976
Pr 0.679 0.679 0.433
Pr 0.954 0.954 0.812
Sm 0.116 0.116 0.640
Sm 0.884 0.884 0.360
Ga 0.233 0.233 0.214
Ga 0.496 0.496 0.358
Ga 0.504 0.504 0.642
Ga 0.767 0.767 0.786

---

No. 20
Compound: InSi2
Source: the Alexandria database
Functional: PBE
Structure: relaxed

Properties
Excess energy over the best structure of this formula in the dataset, meV/atom: 241
ρ, g cm⁻³: 4.30
Formation energy (no corrections), eV per formula unit: 1.43
Final energy, eV/atom: -4.0529

Lattice parameters (Å, degrees): 3.707 6.575 5.423 90.00 90.00 90.00
Atoms (fractional coordinates):
In 0.000 0.000 0.000
In 0.500 0.500 0.500
Si 0.248 0.392 0.000
Si 0.252 0.892 0.500
Si 0.748 0.108 0.500
Si 0.752 0.608 0.000

---

No. 21
Compound: VCuBi2
Source: the Alexandria database
Functional: PBE
Structure: relaxed

Properties
ρ, g cm⁻³: 8.93
Final energy, eV/atom: -4.5622
ΔE_f, eV per atom: 0.68

Lattice parameters (Å, degrees): 9.875 9.875 9.875 20.05 20.05 20.05
Atoms (fractional coordinates):
V 0.000 0.000 0.000
Cu 0.500 0.500 0.500
Bi 0.096 0.096 0.096
Bi 0.904 0.904 0.904

---

No. 22
Compound: Cs2KLaI6
Source: the Alexandria database
Functional: PBE
Structure: relaxed

Properties
Excess energy over the best structure of this formula in the dataset, meV/atom: 0
ρ, g cm⁻³: 3.72
Formation energy (no corrections), eV per formula unit: -15.54
Final energy, eV/atom: -3.2576

Lattice parameters (Å, degrees): 8.914 9.427 15.505 90.00 124.33 90.00
Atoms (fractional coordinates):
Cs 0.220 0.074 0.248
Cs 0.220 0.426 0.748
Cs 0.780 0.574 0.252
Cs 0.780 0.926 0.752
K 0.000 0.000 0.500
K 0.000 0.500 0.000
La 0.500 0.000 0.000
La 0.500 0.500 0.500
I 0.164 0.188 0.952
I 0.164 0.312 0.452
I 0.263 0.719 0.946
I 0.263 0.781 0.446
I 0.365 0.029 0.763
I 0.365 0.471 0.263
I 0.635 0.529 0.737
I 0.635 0.971 0.237
I 0.737 0.219 0.554
I 0.737 0.281 0.054
I 0.836 0.688 0.548
I 0.836 0.812 0.048

---

No. 23
Compound: Sr2Tl2Ag
Source: the Alexandria database
Functional: PBE
Structure: relaxed

Properties
Excess energy over the best structure of this formula in the dataset, meV/atom: 89
ρ, g cm⁻³: 7.01
Final energy, eV/atom: -2.4304
ΔE_f, eV per atom: -0.24

Lattice parameters (Å, degrees): 8.146 8.146 4.938 90.00 90.00 90.00
Atoms (fractional coordinates):
Sr 0.169 0.331 0.000
Sr 0.331 0.831 0.000
Sr 0.669 0.169 0.000
Sr 0.831 0.669 0.000
Tl 0.138 0.638 0.500
Tl 0.362 0.138 0.500
Tl 0.638 0.862 0.500
Tl 0.862 0.362 0.500
Ag 0.000 0.000 0.500
Ag 0.500 0.500 0.500

---

No. 24
Compound: BeRe2Ru
Source: the Alexandria database
Functional: PBE
Structure: relaxed

Properties
Excess energy over the best structure of this formula in the dataset, meV/atom: 308
ρ, g cm⁻³: 14.75
Final energy, eV/atom: -9.2361
ΔE_f, eV per atom: 0.24

Lattice parameters (Å, degrees): 3.672 3.672 4.029 90.00 90.00 90.00
Atoms (fractional coordinates):
Be 0.000 0.000 0.000
Re 0.000 0.500 0.500
Re 0.500 0.000 0.500
Ru 0.500 0.500 0.000

---

No. 25
Compound: TbSmTm2Se6
Source: the Alexandria database
Functional: PBE
Structure: relaxed

Properties
ρ, g cm⁻³: 6.40
Formation energy (no corrections), eV per formula unit: -18.43
Final energy, eV/atom: -5.7627

Lattice parameters (Å, degrees): 7.688 7.688 7.688 55.92 55.92 55.92
Atoms (fractional coordinates):
Tb 0.000 0.000 0.000
Sm 0.502 0.502 0.502
Tm 0.305 0.305 0.305
Tm 0.803 0.803 0.803
Se 0.088 0.410 0.700
Se 0.192 0.918 0.589
Se 0.410 0.700 0.088
Se 0.589 0.192 0.918
Se 0.700 0.088 0.410
Se 0.918 0.589 0.192